(1)
The following is a DFT calculation (SCAN) of LiCoAs at its PBEsol-relaxed geometry.

abc: 3.6963 3.6963 6.0527
angles: 90.00 90.00 90.00
Last column: nearest neighbours and their distance in Å.
Sites, in units of the cell vectors:
As: 0.5000 0.0000 0.7694  4 Co 2.32
As: 0.0000 0.5000 0.2306  4 Co 2.32
Co: 0.5000 0.5000 0.0000  4 As 2.32
Co: 0.0000 0.0000 0.0000  4 As 2.32
Li: 0.0000 0.5000 0.6700  5 As 2.66-2.68, 4 Co 2.72
Li: 0.5000 0.0000 0.3300  5 As 2.66-2.68, 4 Co 2.72

Values from the calculation:
The mass density is 5.65 g/cm³. The value obtained for the volume is 13.78 Å³ per atom. The formation energy is -0.48 eV per atom. The electronic total energy is -13.78 eV per atom.

=====

(2)
The following is a DFT calculation (SCAN) of LiCoAs2 at its PBEsol-relaxed geometry.

abc: 4.2210 4.2337 4.2337
angles: 60.09 60.10 60.10
Last column: nearest neighbours and their distance in Å.
Sites, in units of the cell vectors:
As: 0.2497 0.7503 0.7503  4 Co 2.59-2.60, 4 Li 2.59
As: 0.7503 0.2497 0.2497  4 Co 2.59-2.60, 4 Li 2.59
Co: 0.5000 0.0000 0.0000  8 As 2.59-2.60
Li: 0.0000 0.5000 0.5000  8 As 2.59

Values from the calculation:
The mass density is 6.68 g/cm³. The value obtained for the volume is 13.40 Å³ per atom. The formation energy is -0.13 eV per atom. The value obtained for the energy above the most stable polymorph in this dataset is 0.00 kJ/mol of atoms. The electronic total energy is -15.15 eV per atom.

=====

(3)
The following is a DFT calculation (SCAN) of LiCoAs2 at its PBEsol-relaxed geometry.

abc: 2.9090 4.0905 5.0193
angles: 113.23 90.00 90.00
Last column: nearest neighbours and their distance in Å.
Sites, in units of the cell vectors:
As: 0.0000 0.0000 0.0000  2 Li 2.51, 4 Co 2.51
As: 0.5000 0.5000 0.5000  2 Co 2.51, 4 Li 2.51
Co: 0.5000 0.5000 0.0000  6 As 2.51
Li: 0.0000 0.0000 0.5000  6 As 2.51

Values from the calculation:
The mass density is 6.53 g/cm³. The value obtained for the volume is 13.72 Å³ per atom. The formation energy is -0.11 eV per atom. The value obtained for the energy above the most stable polymorph in this dataset is 1.73 kJ/mol of atoms. The electronic total energy is -15.13 eV per atom.

=====

(4)
The following is a DFT calculation (SCAN) of LiCoAs2 at its PBEsol-relaxed geometry.

abc: 2.9359 4.2610 4.7195
angles: 95.30 108.12 90.00
Last column: nearest neighbours and their distance in Å.
Sites, in units of the cell vectors:
As: 0.0033 0.0683 0.0066  2 Co 2.39, 3 Li 2.42-2.67, 1 As 2.66
As: 0.2268 0.7012 0.4535  2 Co 2.43, 4 Li 2.56-2.63, 1 As 2.66
Co: 0.5206 0.5137 0.0412  4 As 2.39-2.43, 1 Li 2.51
Li: 0.7493 0.2168 0.4986  7 As 2.42-2.67, 1 Co 2.51

Values from the calculation:
The mass density is 6.41 g/cm³. The value obtained for the volume is 13.96 Å³ per atom. The formation energy is -0.04 eV per atom. The value obtained for the energy above the most stable polymorph in this dataset is 8.35 kJ/mol of atoms. The electronic total energy is -15.06 eV per atom.

=====

(5)
The following is a DFT calculation (SCAN) of Mg2CoAs at its PBEsol-relaxed geometry.

abc: 2.9881 2.9881 8.6882
angles: 80.10 80.10 60.00
Last column: nearest neighbours and their distance in Å.
Sites, in units of the cell vectors:
As: 0.5000 0.5000 0.5000  6 Mg 2.89, 6 As 2.99
Co: 0.0000 0.0000 0.0000  6 Mg 2.59
Mg: 0.2577 0.2577 0.2270  3 Co 2.59, 3 As 2.89
Mg: 0.7423 0.7423 0.7730  3 Co 2.59, 3 As 2.89

Values from the calculation:
The mass density is 4.60 g/cm³. The value obtained for the volume is 16.46 Å³ per atom. The formation energy is 0.06 eV per atom. The electronic total energy is -11.80 eV per atom.

=====

(6)
The following is a DFT calculation (SCAN) of Mg3CoAs at its PBEsol-relaxed geometry.

abc: 4.9085 4.9085 4.9085
angles: 90.00 90.00 90.00
Last column: nearest neighbours and their distance in Å.
Sites, in units of the cell vectors:
As: 0.0000 0.0000 0.0000  6 Mg 2.45
Co: 0.5000 0.5000 0.5000  12 Mg 3.47
Mg: 0.0000 0.5000 0.0000  2 As 2.45
Mg: 0.0000 0.0000 0.5000  2 As 2.45
Mg: 0.5000 0.0000 0.0000  2 As 2.45

Values from the calculation:
The mass density is 2.90 g/cm³. The value obtained for the volume is 23.65 Å³ per atom. The formation energy is 0.39 eV per atom. The electronic total energy is -10.09 eV per atom.